The following is a DFT calculation (PBE-GGA) of a geometry-optimized BaRe2SCl structure.

The space group is P4/mmm (No. 123) and the conventional cell measures 4.354, 4.354 and 6.815 Å, with angles of 90.00, 90.00 and 90.00 degrees. The distinct sites, in fractional coordinates, are Ba at (0.000, 0.000, 0.000), Re at (0.000, 0.500, 0.500), S at (0.500, 0.500, 0.500) and Cl at (0.500, 0.500, 0.000).

The calculation puts the uncorrected energy at -31.8 eV/cell. The value obtained for the total magnetization is 0.0 μB/cell.



The following is a DFT calculation (PBE-GGA) of a geometry-optimized AlPIN2 structure.

The space group is P4/mmm (No. 123) and the conventional cell measures 3.706, 3.706 and 6.312 Å, with angles of 90.00, 90.00 and 90.00 degrees. The distinct sites, in fractional coordinates, are Al at (0.000, 0.000, 0.000), P at (0.500, 0.500, 0.500), I at (0.500, 0.500, 0.000) and N at (0.000, 0.500, 0.500).

The energy above the lowest structure with this stoichiometry comes out at 148 meV per atom. The value obtained for the total magnetization is 0.0 μB/cell.



The following is a DFT calculation (PBE-GGA) of a geometry-optimized TiV5Mo6 structure.

The space group is Immm (No. 71) and the conventional cell measures 4.402, 6.172 and 13.008 Å, with angles of 90.00, 90.00 and 90.00 degrees. The distinct sites, in fractional coordinates, are Ti at (0.000, 0.000, 0.000), V at (0.000, 0.000, 0.333), V at (0.000, 0.500, 0.000), V at (0.000, 0.500, 0.333), Mo at (0.000, 0.245, 0.500) and Mo at (0.000, 0.252, 0.169).

The value obtained for the total magnetization is 0.0 μB/cell. For the energy relative to the elements, the calculation gives -0.11 eV/atom.